(1)
This record from Alexandria via LeMat-Bulk describes a crystal of Ca2YRu relaxed with PBEsol. The functional is SCAN.

Summary:
Excess energy over the best structure of this formula in the dataset, meV/atom: 372.5
Space-group type: Cmmm
D(E_F), states/eV per cell: 4.5

a b c (Å): 3.361 3.361 9.350
angles (deg): 90.00 90.00 90.32
Last column: magnetic moment on the atom in μB.
Fractional positions:
Y 0.500 0.500 0.000  0.25
Ru 0.500 0.500 0.500  0.02
Ca 0.000 0.000 0.322  0.00
Ca 0.000 0.000 0.678  0.00

(2)
This record from Alexandria via LeMat-Bulk describes a crystal of CaY3Ru relaxed with PBEsol. The functional is SCAN.

Summary:
Excess energy over the best structure of this formula in the dataset, meV/atom: 0.0
Space-group type: Pm-3m
D(E_F), states/eV per cell: 2.4

a b c (Å): 5.367 5.367 5.367
angles (deg): 90.00 90.00 90.00
Fractional positions:
Y 0.000 0.500 0.000
Y 0.000 0.000 0.500
Y 0.500 0.000 0.000
Ru 0.000 0.000 0.000
Ca 0.500 0.500 0.500

So what do the calculations give for energy relative to the elements? Going down the list: 117; -108 kJ/mol of formula units.